DFT (GGA-PBE) results for TbCeY2Tm after structural relaxation.

Structure (CIF):
```
data_TbCeY2Tm
_symmetry_space_group_name_H-M 'P 1 2/c 1'
_symmetry_Int_Tables_number 13
_symmetry_space_group_name_Hall '-P 2yc'
_cell_length_a 8.284
_cell_length_b 6.606
_cell_length_c 5.909
_cell_angle_alpha 90.00
_cell_angle_beta 91.52
_cell_angle_gamma 90.00
loop_
_atom_site_label
_atom_site_fract_x
_atom_site_fract_y
_atom_site_fract_z
_atom_site_occupancy
Tb1 0.000 0.077 0.250 1
Ce1 0.000 0.500 0.000 1
Y1 0.306 0.192 0.742 1
Tm1 0.500 0.333 0.250 1
```

Output
ΔH_f (0 K) (eV per atom): 0.31
ρ (g cm⁻³): 6.635
Size of the total moment (μB per cell): 3.51